ErMg2GaPt4 | PBE-GGA | optimized geometry

Properties
* total magnetic moment: 0.000 μB/f.u.
* total energy: -42.04 eV for the cell shown
* formation energy: -888 meV/atom

a = 4.5629 Å, b = 4.5629 Å, c = 8.0300 Å
α = 73.49°, β = 73.49°, γ = 60.00°
Last column: nearest neighbours and their distance in Å.
Fractional positions:
Er: 0.0000 0.0000 0.0000  8 Pt 2.91-2.94, 6 Mg 3.26
Pt: 0.3882 0.3882 0.8356  1 Ga 2.55, 3 Mg 2.72
Mg: 0.2487 0.2487 0.2539  7 Pt 2.72-2.82
Pt: 0.8706 0.8706 0.3881  4 Mg 2.72-2.82, 3 Ga 2.77, 1 Er 2.94
Pt: 0.6118 0.6118 0.1644  1 Ga 2.55, 3 Mg 2.72
Ga: 0.5000 0.5000 0.5000  8 Pt 2.55-2.77
Pt: 0.1294 0.1294 0.6119  4 Mg 2.72-2.82, 3 Ga 2.77, 1 Er 2.94
Mg: 0.7513 0.7513 0.7461  7 Pt 2.72-2.82

K2CaBe | PBE-GGA | optimized geometry

Properties
* total magnetic moment: 0.002 μB/f.u.
* total energy: -5.23 eV for the cell shown
* formation energy: 673 meV/atom

a = 4.9438 Å, b = 4.9332 Å, c = 6.3221 Å
α = 90.00°, β = 90.00°, γ = 90.00°
Last column: nearest neighbours and their distance in Å.
Fractional positions:
K: 0.5000 0.5000 0.0000  4 K 3.49
Ca: 0.0000 0.5000 0.5000  4 Be 3.49
K: 0.0000 0.0000 0.0000  4 K 3.49
Be: 0.5000 0.0000 0.5000  4 Ca 3.49

Zn3Os5 | PBE-GGA | optimized geometry

Properties
* total magnetic moment: 0.001 μB/f.u.
* ΔE to the lowest computed polymorph: 0.164 eV/atom
* total energy: -109.67 eV for the cell shown
* formation energy: 642 meV/atom

a = 7.3971 Å, b = 7.3973 Å, c = 4.9062 Å
α = 90.00°, β = 90.00°, γ = 60.00°
Last column: nearest neighbours and their distance in Å.
Fractional positions:
Os: 0.6667 0.6667 0.0000  2 Os 2.45, 6 Zn 2.56
Os: 0.0000 0.2082 0.7500  5 Zn 2.59-2.87, 6 Os 2.67-2.90
Os: 0.3333 0.3333 0.5000  2 Os 2.45, 6 Zn 2.56
Zn: 0.5960 0.4040 0.7500  9 Os 2.56-2.87, 2 Zn 2.83
Os: 0.0000 0.7918 0.2500  5 Zn 2.59-2.87, 6 Os 2.67-2.90
Zn: 0.0000 0.4040 0.2500  9 Os 2.56-2.87, 2 Zn 2.83
Os: 0.6667 0.6667 0.5000  2 Os 2.45, 6 Zn 2.56
Zn: 0.5960 0.0000 0.2500  9 Os 2.56-2.87, 2 Zn 2.83
Os: 0.2082 0.0000 0.2500  5 Zn 2.59-2.87, 6 Os 2.67-2.90
Os: 0.2082 0.7918 0.7500  5 Zn 2.59-2.87, 6 Os 2.67-2.90
Os: 0.3333 0.3333 0.0000  2 Os 2.45, 6 Zn 2.56
Zn: 0.4041 0.0000 0.7500  9 Os 2.56-2.87, 2 Zn 2.83
Os: 0.7918 0.0000 0.7500  5 Zn 2.59-2.87, 6 Os 2.67-2.90
Zn: 0.0000 0.5960 0.7500  9 Os 2.56-2.87, 2 Zn 2.83
Zn: 0.4040 0.5960 0.2500  9 Os 2.56-2.87, 2 Zn 2.83
Os: 0.7918 0.2082 0.2500  5 Zn 2.59-2.87, 6 Os 2.67-2.90

Cr2CoIr2 | PBE-GGA | optimized geometry

Properties
* total magnetic moment: 1.824 μB/f.u.
* ΔE to the lowest computed polymorph: 0.007 eV/atom
* total energy: -86.72 eV for the cell shown
* formation energy: 143 meV/atom

a = 7.1581 Å, b = 7.1581 Å, c = 2.6678 Å
α = 90.00°, β = 90.00°, γ = 90.00°
Last column: nearest neighbours and their distance in Å.
Fractional positions:
Cr: 0.6183 0.1183 0.0000  3 Cr 2.40-2.67, 6 Ir 2.50-2.51
Co: 0.5000 0.5000 0.0000  2 Co 2.67, 4 Cr 2.86, 8 Ir 2.96
Ir: 0.8269 0.3269 0.5000  6 Cr 2.50-2.51, 2 Ir 2.67
Cr: 0.1183 0.3817 0.0000  3 Cr 2.40-2.67, 6 Ir 2.50-2.51
Ir: 0.6731 0.8269 0.5000  6 Cr 2.50-2.51, 2 Ir 2.67
Co: 0.0000 0.0000 0.0000  2 Co 2.67, 4 Cr 2.86, 8 Ir 2.96
Ir: 0.3269 0.1731 0.5000  6 Cr 2.50-2.51, 2 Ir 2.67
Cr: 0.8817 0.6183 0.0000  3 Cr 2.40-2.67, 6 Ir 2.50-2.51
Ir: 0.1731 0.6731 0.5000  6 Cr 2.50-2.51, 2 Ir 2.67
Cr: 0.3817 0.8817 0.0000  3 Cr 2.40-2.67, 6 Ir 2.50-2.51

Y3GaSi | PBE-GGA | optimized geometry

Properties
* raw formation energy: -0.510 eV per atom
* total magnetic moment: 0.000 μB/f.u.
* ΔE to the lowest computed polymorph: 0.000 eV/atom
* total energy: -60.78 eV for the cell shown

a = 4.0754 Å, b = 7.7861 Å, c = 8.2688 Å
α = 92.25°, β = 90.02°, γ = 105.21°
Last column: nearest neighbours and their distance in Å.
Fractional positions:
Si: 0.4165 0.8654 0.2736  8 Y 2.94-3.22
Ga: 0.2270 0.4880 0.6413  2 Ga 2.67, 3 Y 2.93-2.98
Si: 0.6276 0.2887 0.1480  8 Y 2.94-3.22
Y: 0.0711 0.1752 0.3925  4 Si 3.02-3.22, 1 Ga 3.06, 1 Y 3.29
Y: 0.9729 0.9788 0.0291  4 Si 3.02-3.22, 1 Ga 3.06, 1 Y 3.29
Y: 0.7858 0.6051 0.3878  3 Si 3.00-3.03, 3 Ga 3.08-3.26
Ga: 0.8169 0.6662 0.7803  2 Ga 2.67, 3 Y 2.93-2.98
Y: 0.6174 0.2697 0.7926  3 Ga 2.93-2.98, 1 Si 2.94, 1 Y 3.15
Y: 0.2581 0.5489 0.0338  3 Si 3.00-3.03, 3 Ga 3.08-3.26
Y: 0.4265 0.8843 0.6290  3 Ga 2.93-2.98, 1 Si 2.94, 1 Y 3.15

NbH2F | PBE-GGA | optimized geometry

Properties
* total magnetic moment: 1.493 μB/f.u.
* ΔE to the lowest computed polymorph: 0.404 eV/atom
* total energy: -19.71 eV for the cell shown

a = 3.5649 Å, b = 3.5649 Å, c = 3.5649 Å
α = 60.00°, β = 60.00°, γ = 60.00°
Last column: nearest neighbours and their distance in Å.
Fractional positions:
H: 0.2500 0.2500 0.2500  4 F 2.18, 4 Nb 2.18
F: 0.0000 0.0000 0.0000  8 H 2.18
H: 0.7500 0.7500 0.7500  4 F 2.18, 4 Nb 2.18
Nb: 0.5000 0.5000 0.5000  8 H 2.18

Ca2Tl2Ga | PBE-GGA | optimized geometry

Properties
* total magnetic moment: 0.000 μB/f.u.
* ΔE to the lowest computed polymorph: 0.198 eV/atom
* total energy: -25.16 eV for the cell shown
* formation energy: -164 meV/atom

a = 8.5770 Å, b = 8.5770 Å, c = 4.0973 Å
α = 90.00°, β = 90.00°, γ = 90.00°
Last column: nearest neighbours and their distance in Å.
Fractional positions:
Tl: 0.6423 0.8577 0.5000  6 Ca 3.15-3.31, 1 Tl 3.45
Ca: 0.8400 0.6600 0.0000  6 Tl 3.15-3.31, 2 Ga 3.22
Tl: 0.3577 0.1423 0.5000  6 Ca 3.15-3.31, 1 Tl 3.45
Ca: 0.6600 0.1600 0.0000  6 Tl 3.15-3.31, 2 Ga 3.22
Tl: 0.8577 0.3577 0.5000  6 Ca 3.15-3.31, 1 Tl 3.45
Ca: 0.3400 0.8400 0.0000  6 Tl 3.15-3.31, 2 Ga 3.22
Ga: 0.5000 0.5000 0.0000  4 Ca 3.22
Ca: 0.1600 0.3400 0.0000  6 Tl 3.15-3.31, 2 Ga 3.22
Ga: 0.0000 0.0000 0.0000  4 Ca 3.22
Tl: 0.1423 0.6423 0.5000  6 Ca 3.15-3.31, 1 Tl 3.45

ZrReAs2 | PBE-GGA | optimized geometry

Properties
* total magnetic moment: 0.000 μB/f.u.
* ΔE to the lowest computed polymorph: 0.429 eV/atom
* total energy: -30.20 eV for the cell shown
* formation energy: 24 meV/atom

a = 5.0813 Å, b = 5.0813 Å, c = 5.0813 Å
α = 132.79°, β = 132.79°, γ = 68.98°
Last column: nearest neighbours and their distance in Å.
Fractional positions:
As: 0.0000 0.0000 0.0000  4 Re 2.88, 4 Zr 2.92, 4 As 2.92
Re: 0.5000 0.5000 0.0000  8 As 2.88-2.92, 4 Zr 2.92
As: 0.2500 0.7500 0.5000  4 Zr 2.88, 4 As 2.92, 4 Re 2.92
Zr: 0.7500 0.2500 0.5000  8 As 2.88-2.92, 4 Re 2.92